No. 1
## PrPaCS (GGA-PBE)

Data for a relaxed structure of PrPaCS.

```
PrPaCS
1.0
-1.664 -1.912 -3.001
-1.060 -3.760 0.412
-13.111 2.017 3.414
Pr Pa C S
2 2 2 2
direct
0.795 0.795 0.616 Pr
0.205 0.205 0.384 Pr
0.631 0.631 0.107 Pa
0.369 0.369 0.893 Pa
0.689 0.689 0.934 C
0.311 0.311 0.066 C
0.083 0.083 0.752 S
0.917 0.917 0.248 S
```

## Properties
M_tot in μB per formula unit: 0.5
Crystal system: trigonal


No. 2
## NaZnAgBr4 (GGA-PBE)

Data for a relaxed structure of NaZnAgBr4.

```
NaZnAgBr4
1.0
-5.928 3.734 -4.380
-3.010 -3.577 -6.768
-7.654 -3.013 -0.002
Na Zn Ag Br
2 2 2 8
direct
0.000 0.000 0.000 Na
0.000 0.500 0.500 Na
0.623 0.627 0.127 Zn
0.377 0.373 0.873 Zn
0.500 0.000 0.500 Ag
0.000 0.000 0.500 Ag
0.744 0.754 0.759 Br
0.256 0.741 0.746 Br
0.744 0.259 0.254 Br
0.256 0.246 0.241 Br
0.257 0.750 0.250 Br
0.743 0.750 0.250 Br
0.257 0.250 0.750 Br
0.743 0.250 0.750 Br
```

## Properties
M_tot in μB per formula unit: 0.0
Crystal system: orthorhombic


No. 3
## MnSi2Au (GGA-PBE)

Data for a relaxed structure of MnSi2Au.

```
MnSi2Au
1.0
-0.469 -2.169 1.486
1.705 1.104 2.150
-5.809 3.264 2.932
Au Mn Si
1 1 2
direct
0.500 0.250 0.250 Au
0.500 0.750 0.750 Mn
0.000 0.250 0.938 Si
0.000 0.250 0.562 Si
```

## Properties
M_tot in μB per formula unit: 0.4
Crystal system: orthorhombic


| no. | VASP energy (eV per atom) |
| --- | --- |
| 1 | -7.864 |
| 2 | -2.621 |
| 3 | -5.966 |